1.
NaCa2Bi2, optimized geometry, DFT GGA-PBE; density of states at the Fermi level = 2.87 states/eV per cell; energy of formation = -61.56 kJ per mole of atoms; total energy = -3.25 eV per atom; symmetry = Pmmn (59); energy above the most stable polymorph in this dataset = 0.026 eV/atom
1.0
4.8777 0.0000 0.0000
0.0000 7.4671 0.0000
0.0000 0.0000 8.9163
Na Ca Bi
2 4 4
direct
0.2500 0.2500 0.2503
0.7500 0.7500 0.7497
0.2500 0.7500 0.0524
0.2500 0.7500 0.4475
0.7500 0.2500 0.5525
0.7500 0.2500 0.9476
0.2500 0.0209 0.7500
0.2500 0.4791 0.7500
0.7500 0.5209 0.2500
0.7500 0.9791 0.2500

=====

2.
ScTe2SN, optimized geometry, DFT GGA-PBE; density of states at the Fermi level = 2.47 states/eV per cell; E_form (uncorrected) = 0.381 eV per atom; total energy = -4.63 eV per atom; symmetry = P4/mmm (123); energy above the most stable polymorph in this dataset = 0.000 eV/atom
1.0
5.6271 0.0000 0.0000
0.0000 5.6271 0.0000
0.0000 0.0000 3.3700
Sc Te S N
1 2 1 1
direct
0.0000 0.0000 0.0000
0.0000 0.5000 0.5000
0.5000 0.0000 0.5000
0.5000 0.5000 0.5000
0.5000 0.5000 0.0000